An optimized crystal structure of KLi2As. Source: Alexandria, functional PBE.

```
KLi2As
1.0
-1.139 5.389 0.087
-3.638 -0.834 4.051
3.336 3.401 7.441
As K Li
2 2 4
Direct
0.000 0.000 0.000
0.750 0.250 0.500
0.500 0.500 0.000
0.250 0.750 0.500
0.876 0.125 0.250
0.874 0.625 0.250
0.375 0.124 0.750
0.875 0.126 0.750
```

Summary:
Total magnetic moment ... 0.00 μB per formula unit
VASP energy ... -22.328 eV for the cell shown


An optimized crystal structure of Li4LaAg. Source: Alexandria, functional PBE.

```
Li4LaAg
1.0
-2.127 4.300 -2.795
0.516 0.250 -5.522
-4.450 -0.723 -3.240
Ag La Li
1 1 4
Direct
0.250 0.250 0.250
0.000 0.000 0.000
0.134 0.622 0.622
0.622 0.622 0.622
0.622 0.134 0.622
0.622 0.622 0.134
```

Summary:
Total magnetic moment ... 0.00 μB per formula unit
VASP energy ... -15.544 eV for the cell shown